This record from Alexandria describes an optimized crystal structure of Zr2HgN. The functional is PBE-GGA.

## Properties
- Raw formation energy: 0.44 eV/atom
- Symmetry: Fm-3m, No. 225
- Calculated volume: 71 Å³ per cell
- Polymorph energy (0 for the lowest one): 1435 meV/atom

extended XYZ file:
```
4
Lattice="0.0000 3.2936 3.2936 3.2936 0.0000 3.2936 3.2936 3.2936 0.0000" Properties=species:S:1:pos:R:3 pbc="T T T"
Zr 1.6468 1.6468 1.6468
Zr 4.9404 4.9404 4.9404
Hg 0.0000 0.0000 0.0000
N 3.2936 3.2936 3.2936
```

=====

This record from Alexandria describes an optimized crystal structure of ThZrGaTc. The functional is PBE-GGA.

## Properties
- Symmetry: F-43m, No. 216
- Calculated volume: 85 Å³ per cell
- ΔH_f (0 K): -0.19 eV per atom

extended XYZ file:
```
4
Lattice="0.0000 3.4955 3.4955 3.4955 0.0000 3.4955 3.4955 3.4955 0.0000" Properties=species:S:1:pos:R:3 pbc="T T T"
Th 0.0000 0.0000 0.0000
Zr 3.4955 3.4955 3.4955
Ga 1.7478 1.7478 1.7478
Tc 5.2433 5.2433 5.2433
```

=====

This record from Alexandria describes an optimized crystal structure of Cs4Tl5Rh. The functional is PBE-GGA.

## Properties
- Symmetry: I4mm, No. 107
- Calculated volume: 458 Å³ per cell
- ΔH_f (0 K): -0.03 eV per atom

extended XYZ file:
```
10
Lattice="-5.7845 5.7845 3.4234 5.7845 -5.7845 3.4234 5.7845 5.7845 -3.4234" Properties=species:S:1:pos:R:3 pbc="T T T"
Cs 3.4302 0.0000 0.0000
Cs 8.1387 0.0000 0.0000
Cs 0.0000 3.4302 0.0000
Cs 0.0000 8.1387 0.0000
Tl 4.1736 4.1736 -0.2657
Tl 1.6108 -1.6108 3.1577
Tl -1.6108 1.6108 3.1577
Tl 1.6108 1.6108 3.1577
Tl 0.0000 0.0000 5.5304
Rh 0.0000 0.0000 1.4367
```